Material: RbSn3I
Method: DFT, GGA-PBE
State: relaxed

abc: 6.3890 6.3890 6.3890
angles: 90.00 90.00 90.00
With the nearest neighbours (Å) after each atom.
Fractional coordinates of all 5 atoms:
Rb (0.0000, 0.0000, 0.0000)  6 Sn 3.19
Sn (0.0000, 0.0000, 0.5000)  2 Rb 3.19
Sn (0.0000, 0.5000, 0.0000)  2 Rb 3.19
Sn (0.5000, 0.0000, 0.0000)  2 Rb 3.19
I (0.5000, 0.5000, 0.5000)  12 Sn 4.52

Output
Fermi-level density of states   1.7932 states/eV per atom
E above lowest polymorph   714 meV per atom
Crystal system   cubic
E_form (uncorrected)   1168.5 meV per atom
Calculated volume   52.16 A^3/atom
Uncorrected energy   -8.68 eV per cell

***

Material: Rb3SnI6
Method: DFT, GGA-PBE
State: relaxed

abc: 9.1577 9.1577 9.1577
angles: 60.00 60.00 60.00
With the nearest neighbours (Å) after each atom.
Fractional coordinates of all 10 atoms:
Rb (0.0000, 0.0000, 0.0000)  6 I 3.46
Rb (0.2500, 0.2500, 0.2500)  12 I 4.58
Rb (0.7500, 0.7500, 0.7500)  12 I 4.58
Sn (0.5000, 0.5000, 0.5000)  6 I 3.01
I (0.2675, 0.2675, 0.7325)  1 Sn 3.01
I (0.2675, 0.7325, 0.2675)  1 Sn 3.01
I (0.2675, 0.7325, 0.7325)  1 Sn 3.01
I (0.7325, 0.2675, 0.2675)  1 Sn 3.01
I (0.7325, 0.2675, 0.7325)  1 Sn 3.01
I (0.7325, 0.7325, 0.2675)  1 Sn 3.01

Output
Fermi-level density of states   1.6440 states/eV per atom
E above lowest polymorph   69 meV per atom
Crystal system   cubic
E_form (uncorrected)   -960.4 meV per atom
Calculated volume   54.31 A^3/atom
Uncorrected energy   -25.81 eV per cell